# Sb2Au13

A relaxed Sb2Au13 crystal (GGA-PBE, the Alexandria database).

Unit cell a=7.600 b=7.600 c=8.447 alpha=63.27 beta=63.27 gamma=60.00
Fractional coordinates of all 15 atoms:
Au 0.097 0.736 0.431
Au 0.523 0.523 0.817
Au 0.736 0.097 0.431
Au 0.903 0.264 0.569
Au 0.136 0.523 0.817
Au 0.523 0.136 0.817
Au 0.736 0.736 0.431
Au 0.864 0.477 0.183
Au 0.264 0.903 0.569
Sb 0.281 0.281 0.156
Au 0.500 0.500 0.500
Au 0.477 0.864 0.183
Au 0.264 0.264 0.569
Sb 0.719 0.719 0.844
Au 0.477 0.477 0.183

Values from the calculation:
* density: 12896 kg/m³
* energy relative to the elements, uncorrected: 1.7 eV per formula unit
* polymorph energy (0 for the lowest one): 0.000 eV/f.u.
* DOS(E_F): 4.90 states/eV per cell
* uncorrected energy: -49.14 eV per cell


# Sb3Au

A relaxed Sb3Au crystal (GGA-PBE, the Alexandria database).

Unit cell a=5.884 b=5.884 c=3.145 alpha=90.00 beta=90.00 gamma=90.00
Fractional coordinates of all 4 atoms:
Sb 0.000 0.500 0.500
Sb 0.500 0.000 0.500
Au 0.500 0.500 0.500
Sb 0.000 0.000 0.500

Values from the calculation:
* density: 8574 kg/m³
* energy relative to the elements, uncorrected: 0.3 eV per formula unit
* polymorph energy (0 for the lowest one): 0.348 eV/f.u.
* DOS(E_F): 1.98 states/eV per cell
* uncorrected energy: -15.35 eV per cell